1.
Computed, not measured: a relaxed structure of Cd2Sb2I at the GGA-PBE level of DFT.

Geometry as POSCAR:
```
Cd2Sb2I
1.0
8.832 0.000 0.000
0.000 8.832 0.000
0.000 0.000 3.670
Cd Sb I
4 4 2
Direct
0.142 0.358 0.000 Cd
0.358 0.858 0.000 Cd
0.642 0.142 0.000 Cd
0.858 0.642 0.000 Cd
0.158 0.658 0.500 Sb
0.342 0.158 0.500 Sb
0.658 0.842 0.500 Sb
0.842 0.342 0.500 Sb
0.000 0.000 0.500 I
0.500 0.500 0.500 I
```

Properties
**Energy relative to the lowest polymorph listed for this composition**: 0.225 eV per atom
**SG**: P4/mbm (127)
**Calculated volume**: 143.11 Å³/f.u.

2.
Computed, not measured: a relaxed structure of Cd2Sb2I at the GGA-PBE level of DFT.

Geometry as POSCAR:
```
Cd2Sb2I
1.0
9.351 0.000 0.000
0.000 9.351 0.000
0.000 0.000 3.269
Cd Sb I
4 4 2
Direct
0.165 0.335 0.000 Cd
0.335 0.835 0.000 Cd
0.665 0.165 0.000 Cd
0.835 0.665 0.000 Cd
0.129 0.629 0.500 Sb
0.371 0.129 0.500 Sb
0.629 0.871 0.500 Sb
0.871 0.371 0.500 Sb
0.000 0.000 0.000 I
0.500 0.500 0.000 I
```

Properties
**Energy relative to the lowest polymorph listed for this composition**: 0.243 eV per atom
**SG**: P4/mbm (127)
**Calculated volume**: 142.91 Å³/f.u.

3.
Computed, not measured: a relaxed structure of CdSbI at the GGA-PBE level of DFT.

Geometry as POSCAR:
```
CdSbI
1.0
4.339 0.000 0.000
2.160 6.536 0.000
2.147 2.641 8.244
Cd Sb I
2 2 2
Direct
0.000 0.000 0.000 Cd
0.416 0.541 0.618 Cd
0.235 0.603 0.926 Sb
0.763 0.357 0.118 Sb
0.071 0.254 0.595 I
0.421 0.851 0.307 I
```

Properties
**Energy relative to the lowest polymorph listed for this composition**: 0.059 eV per atom
**SG**: P1 (1)
**Calculated volume**: 116.89 Å³/f.u.

4.
Computed, not measured: a relaxed structure of CdSbI at the GGA-PBE level of DFT.

Geometry as POSCAR:
```
CdSbI
1.0
-2.253 5.728 4.082
2.253 -5.728 4.082
2.253 5.728 -4.082
Cd Sb I
2 2 2
Direct
0.208 0.250 0.458 Cd
0.792 0.750 0.542 Cd
0.624 0.454 0.670 Sb
0.784 0.954 0.330 Sb
0.083 0.477 0.106 I
0.372 0.977 0.894 I
```

Properties
**Energy relative to the lowest polymorph listed for this composition**: 0.058 eV per atom
**SG**: Ima2 (46)
**Calculated volume**: 105.33 Å³/f.u.